Computed, not measured: crystalline KAl2Au at its relaxed geometry at the GGA-PBE level of DFT.

a b c (Å): 6.1993 6.1993 2.7991
angles (deg): 90.00 90.00 122.83
Last column: nearest neighbours and their distance in Å.
Positions (direct):
K 0.0000 0.0000 0.0000  2 K 2.80, 2 Au 2.97
Al 0.0000 0.5000 0.5000  4 Al 2.80-2.97
Al 0.5000 0.0000 0.5000  4 Al 2.80-2.97
Au 0.5000 0.5000 0.0000  2 Au 2.80, 2 K 2.97

Summary:
- volume (Å³/cell) = 90
- M_tot (μB per formula unit) = 0.0
- E (eV per atom) = -2.67
- space group = Cmmm